# 1
FeMo2Os | PBE-GGA | relaxed

Values from the calculation:
- offset from the most stable computed form (kJ/mol of formula units) = 23.1
- E_tot (eV/atom) = -10.181
- DOS(E_F) (states/eV/atom) = 0.9840
- space group = No. 216

Unit cell a=4.3587 b=4.3587 c=4.3587 alpha=60.00 beta=60.00 gamma=60.00
With the nearest neighbours (Å) after each atom.
Fractional coordinates of all 4 atoms:
Mo 0.0000 0.0000 0.0000  4 Os 2.67, 4 Mo 2.67
Mo 0.2500 0.2500 0.2500  4 Mo 2.67, 4 Fe 2.67
Os 0.7500 0.7500 0.7500  4 Fe 2.67, 4 Mo 2.67
Fe 0.5000 0.5000 0.5000  4 Mo 2.67, 4 Os 2.67


# 2
FeMo2Os | PBE-GGA | relaxed

Values from the calculation:
- offset from the most stable computed form (kJ/mol of formula units) = 25.6
- E_tot (eV/atom) = -10.175
- DOS(E_F) (states/eV/atom) = 1.0396
- space group = No. 8

Unit cell a=4.7115 b=4.7115 c=4.7173 alpha=80.20 beta=80.20 gamma=34.06
With the nearest neighbours (Å) after each atom.
Fractional coordinates of all 4 atoms:
Mo 0.7559 0.7559 0.7318  3 Os 2.64-2.72, 4 Fe 2.71-2.76, 5 Mo 2.72-2.89
Mo 0.9903 0.9903 0.0250  3 Fe 2.65-2.67, 4 Os 2.67-2.81, 5 Mo 2.72-2.89
Os 0.5091 0.5091 0.5015  7 Mo 2.64-2.81, 3 Fe 2.64-2.87, 2 Os 2.76
Fe 0.2447 0.2447 0.2417  3 Os 2.64-2.87, 7 Mo 2.65-2.76, 2 Fe 2.76


# 3
Fe2MoOs | PBE-GGA | relaxed

Values from the calculation:
- E_tot (eV/atom) = -9.035
- DOS(E_F) (states/eV/atom) = 1.0383
- space group = No. 122

Unit cell a=3.5898 b=3.5898 c=9.5007 alpha=79.11 beta=79.11 gamma=90.00
With the nearest neighbours (Å) after each atom.
Fractional coordinates of all 8 atoms:
Mo 0.5000 0.5000 0.0000  4 Os 2.54, 4 Fe 2.63
Mo 0.2500 0.7500 0.5000  4 Os 2.54, 4 Fe 2.63
Fe 0.6357 0.1250 0.2500  4 Fe 2.48-2.59, 2 Os 2.60, 2 Mo 2.63
Fe 0.3750 0.3643 0.7500  4 Fe 2.48-2.59, 2 Os 2.60, 2 Mo 2.63
Fe 0.8750 0.8857 0.7500  4 Fe 2.48-2.59, 2 Os 2.60, 2 Mo 2.63
Fe 0.1143 0.6250 0.2500  4 Fe 2.48-2.59, 2 Os 2.60, 2 Mo 2.63
Os 0.0000 0.0000 0.0000  4 Mo 2.54, 4 Fe 2.60
Os 0.7500 0.2500 0.5000  4 Mo 2.54, 4 Fe 2.60


# 4
FeMo2Os | PBE-GGA | relaxed

Values from the calculation:
- offset from the most stable computed form (kJ/mol of formula units) = 39.7
- E_tot (eV/atom) = -10.138
- DOS(E_F) (states/eV/atom) = 1.1555
- space group = No. 25

Unit cell a=2.7555 b=3.8100 c=5.5320 alpha=90.00 beta=90.00 gamma=90.00
With the nearest neighbours (Å) after each atom.
Fractional coordinates of all 4 atoms:
Os 0.0000 0.0000 0.5064  6 Mo 2.62-2.91, 4 Fe 2.71, 2 Os 2.76
Mo 0.5000 0.5000 0.2643  2 Fe 2.68-2.85, 4 Os 2.71, 6 Mo 2.76-2.83
Mo 0.0000 0.0000 0.9804  2 Os 2.62-2.91, 4 Fe 2.68, 6 Mo 2.76-2.83
Fe 0.5000 0.5000 0.7489  6 Mo 2.68-2.85, 4 Os 2.71, 2 Fe 2.76


# 5
Fe2MoOs | PBE-GGA | relaxed

Values from the calculation:
- E_tot (eV/atom) = -9.612
- DOS(E_F) (states/eV/atom) = 1.0107
- space group = No. 216

Unit cell a=4.2609 b=4.2609 c=4.2609 alpha=60.00 beta=60.00 gamma=60.00
With the nearest neighbours (Å) after each atom.
Fractional coordinates of all 4 atoms:
Os 0.7500 0.7500 0.7500  4 Mo 2.61, 4 Fe 2.61
Mo 0.5000 0.5000 0.5000  4 Os 2.61, 4 Fe 2.61
Fe 0.0000 0.0000 0.0000  4 Fe 2.61, 4 Os 2.61
Fe 0.2500 0.2500 0.2500  4 Mo 2.61, 4 Fe 2.61


# 6
FeMoOs2 | PBE-GGA | relaxed

Values from the calculation:
- offset from the most stable computed form (kJ/mol of formula units) = 14.2
- E_tot (eV/atom) = -10.339
- DOS(E_F) (states/eV/atom) = 1.0745
- space group = No. 139

Unit cell a=4.6610 b=4.6610 c=4.6610 alpha=131.24 beta=131.24 gamma=71.43
With the nearest neighbours (Å) after each atom.
Fractional coordinates of all 4 atoms:
Os 0.5000 0.5000 0.0000  4 Fe 2.70, 4 Mo 2.70, 4 Os 2.72
Os 0.0000 0.0000 0.0000  4 Mo 2.70, 4 Fe 2.70, 4 Os 2.72
Fe 0.2500 0.7500 0.5000  8 Os 2.70, 4 Mo 2.72
Mo 0.7500 0.2500 0.5000  8 Os 2.70, 4 Fe 2.72


# 7
FeMoOs2 | PBE-GGA | relaxed

Values from the calculation:
- offset from the most stable computed form (kJ/mol of formula units) = 61.0
- E_tot (eV/atom) = -10.218
- DOS(E_F) (states/eV/atom) = 1.1286
- space group = No. 123

Unit cell a=3.1121 b=3.1121 c=5.8812 alpha=90.00 beta=90.00 gamma=90.00
With the nearest neighbours (Å) after each atom.
Fractional coordinates of all 4 atoms:
Os 0.0000 0.0000 0.4804  4 Fe 2.58, 1 Os 2.71, 4 Mo 2.71
Os 0.0000 0.0000 0.0196  4 Fe 2.58, 1 Os 2.71, 4 Mo 2.71
Mo 0.5000 0.5000 0.7500  8 Os 2.71, 2 Fe 2.94
Fe 0.5000 0.5000 0.2500  8 Os 2.58


# 8
FeMoOs2 | PBE-GGA | relaxed

Values from the calculation:
- offset from the most stable computed form (kJ/mol of formula units) = 101.4
- E_tot (eV/atom) = -10.114
- DOS(E_F) (states/eV/atom) = 1.3033
- space group = No. 12

Unit cell a=5.2100 b=5.2100 c=2.6725 alpha=76.87 beta=76.87 gamma=117.97
With the nearest neighbours (Å) after each atom.
Fractional coordinates of all 4 atoms:
Os 0.0000 0.0000 0.0000  2 Fe 2.64, 2 Mo 2.64, 6 Os 2.67-2.83
Os 0.5000 0.5000 0.0000  2 Mo 2.64, 2 Fe 2.64, 6 Os 2.67-2.83
Fe 0.5000 0.0000 0.5000  4 Os 2.64, 2 Fe 2.67, 4 Mo 2.68-2.83
Mo 0.0000 0.5000 0.5000  4 Os 2.64, 2 Mo 2.67, 4 Fe 2.68-2.83


# 9
FeMoOs2 | PBE-GGA | relaxed

Values from the calculation:
- offset from the most stable computed form (kJ/mol of formula units) = 109.9
- E_tot (eV/atom) = -10.092
- DOS(E_F) (states/eV/atom) = 1.2494
- space group = No. 47

Unit cell a=2.8708 b=4.5149 c=4.4369 alpha=90.00 beta=90.00 gamma=90.00
With the nearest neighbours (Å) after each atom.
Fractional coordinates of all 4 atoms:
Fe 0.5000 0.0000 0.5000  4 Os 2.64, 4 Mo 2.68, 2 Fe 2.87
Mo 0.0000 0.5000 0.5000  4 Os 2.64, 4 Fe 2.68, 2 Mo 2.87
Os 0.5000 0.5000 0.0000  4 Mo 2.64, 6 Os 2.68-2.87
Os 0.0000 0.0000 0.0000  4 Fe 2.64, 6 Os 2.68-2.87


# 10
Fe2MoOs | PBE-GGA | relaxed

Values from the calculation:
- E_tot (eV/atom) = -9.607
- DOS(E_F) (states/eV/atom) = 0.9093
- space group = No. 25

Unit cell a=2.6687 b=3.7312 c=5.3083 alpha=90.00 beta=90.00 gamma=90.00
With the nearest neighbours (Å) after each atom.
Fractional coordinates of all 4 atoms:
Mo 0.0000 0.0000 0.4885  6 Fe 2.56-2.75, 2 Mo 2.67, 4 Os 2.74
Os 0.5000 0.5000 0.7698  5 Fe 2.47-2.61, 2 Os 2.67, 4 Mo 2.74
Fe 0.5000 0.5000 0.2354  1 Os 2.47, 6 Fe 2.60-2.67, 4 Mo 2.66
Fe 0.0000 0.0000 0.0063  2 Mo 2.56-2.75, 6 Fe 2.60-2.67, 4 Os 2.61


# 11
FeMo2Os | PBE-GGA | relaxed

Values from the calculation:
- offset from the most stable computed form (kJ/mol of formula units) = 29.2
- E_tot (eV/atom) = -10.166
- DOS(E_F) (states/eV/atom) = 1.0950
- space group = No. 99

Unit cell a=2.6944 b=2.6944 c=7.9134 alpha=90.00 beta=90.00 gamma=90.04
With the nearest neighbours (Å) after each atom.
Fractional coordinates of all 4 atoms:
Mo 0.5000 0.5000 0.2626  8 Mo 2.69-2.96, 4 Os 2.81
Mo 0.0000 0.0000 0.9772  4 Fe 2.69, 8 Mo 2.69-2.96
Fe 0.5000 0.5000 0.7365  4 Os 2.54, 4 Mo 2.69, 4 Fe 2.69
Os 0.0000 0.0000 0.5236  4 Fe 2.54, 4 Os 2.69, 4 Mo 2.81


# 12
FeMo2Os | PBE-GGA | relaxed

Values from the calculation:
- offset from the most stable computed form (kJ/mol of formula units) = 21.7
- E_tot (eV/atom) = -10.185
- DOS(E_F) (states/eV/atom) = 1.0139
- space group = No. 47

Unit cell a=3.1862 b=4.2480 c=4.2992 alpha=90.00 beta=90.00 gamma=90.00
With the nearest neighbours (Å) after each atom.
Fractional coordinates of all 4 atoms:
Mo 0.5000 0.5000 0.0000  4 Mo 2.66, 4 Fe 2.68
Mo 0.0000 0.0000 0.0000  4 Mo 2.66, 4 Os 2.68
Fe 0.0000 0.5000 0.5000  4 Os 2.66, 4 Mo 2.68
Os 0.5000 0.0000 0.5000  4 Fe 2.66, 4 Mo 2.68


# 13
FeReMoOs | PBE-GGA | relaxed

Values from the calculation:
- E_tot (eV/atom) = -10.545
- DOS(E_F) (states/eV/atom) = 0.8814
- space group = No. 216

Unit cell a=4.3397 b=4.3397 c=4.3397 alpha=60.00 beta=60.00 gamma=60.00
With the nearest neighbours (Å) after each atom.
Fractional coordinates of all 4 atoms:
Fe 0.2500 0.2500 0.2500  4 Mo 2.66, 4 Os 2.66
Os 0.5000 0.5000 0.5000  4 Fe 2.66, 4 Re 2.66
Mo 0.0000 0.0000 0.0000  4 Re 2.66, 4 Fe 2.66
Re 0.7500 0.7500 0.7500  4 Os 2.66, 4 Mo 2.66


# 14
Sc2FeMoOs | PBE-GGA | relaxed

Values from the calculation:
- E_tot (eV/atom) = -7.644
- DOS(E_F) (states/eV/atom) = 1.3066
- space group = No. 123

Unit cell a=4.9659 b=4.4374 c=4.9659 alpha=90.00 beta=90.00 gamma=90.00
With the nearest neighbours (Å) after each atom.
Fractional coordinates of all 5 atoms:
Sc 0.5000 0.0000 0.0000  2 Os 2.48
Sc 0.0000 0.0000 0.5000  2 Os 2.48
Os 0.0000 0.0000 0.0000  2 Fe 2.22, 4 Sc 2.48
Mo 0.5000 0.5000 0.5000  8 Sc 3.33, 4 Fe 3.51
Fe 0.0000 0.5000 0.0000  2 Os 2.22


# 15
ScFeMoOs | PBE-GGA | relaxed

Values from the calculation:
- E_tot (eV/atom) = -9.303
- DOS(E_F) (states/eV/atom) = 0.7810
- space group = No. 216

Unit cell a=4.4054 b=4.4054 c=4.4054 alpha=60.00 beta=60.00 gamma=60.00
With the nearest neighbours (Å) after each atom.
Fractional coordinates of all 4 atoms:
Fe 0.7500 0.7500 0.7500  4 Mo 2.70, 4 Sc 2.70
Mo 0.5000 0.5000 0.5000  4 Os 2.70, 4 Fe 2.70
Sc 0.0000 0.0000 0.0000  4 Fe 2.70, 4 Os 2.70
Os 0.2500 0.2500 0.2500  4 Sc 2.70, 4 Mo 2.70


The calculation returns the following formation enthalpy at 0 K values, one per record and in order: 0.16 0.16 0.71 0.20 0.13 0.10 0.22 0.32 0.35 0.14 0.17 0.15 0.20 0.99 -0.09 eV/atom.